DFT (PBE) results for a geometry-optimized In2SbCI structure.

Lattice parameters (Å, degrees): 6.463 5.942 6.463 90.00 90.00 90.00
Each line ends with the local moment (μB).
Positions (direct):
I 0.000 0.000 0.000  -0.02
Sb 0.000 0.500 0.000  -0.35
C 0.500 0.500 0.500  1.02
In 0.000 0.000 0.500  0.01
In 0.500 0.000 0.000  0.02

Properties
* space group: P4/mmm
* density: 3.28 g/cm3
* energy relative to the elements, uncorrected: 9.44 eV/f.u.

=====

DFT (PBE) results for a geometry-optimized Ba3Mg structure.

Lattice parameters (Å, degrees): 8.236 6.603 7.358 90.00 90.00 90.00
Positions (direct):
Ba 0.000 0.500 0.370
Ba 0.248 0.000 0.160
Ba 0.252 0.500 0.840
Ba 0.500 0.000 0.630
Ba 0.752 0.000 0.160
Ba 0.748 0.500 0.840
Mg 0.000 0.000 0.685
Mg 0.500 0.500 0.315

Properties
* space group: Pmmn
* ΔH_f (0 K): 0.05 eV per atom
* energy above the most stable polymorph in this dataset: 67 meV per atom
* density: 3.62 g/cm3

=====

DFT (PBE) results for a geometry-optimized Pr2BeGaAu6 structure.

Lattice parameters (Å, degrees): 6.434 7.125 6.479 61.04 60.12 89.89
Positions (direct):
Pr 0.783 0.333 0.434
Pr 0.217 0.667 0.566
Be 0.000 0.000 0.000
Ga 0.500 0.500 0.000
Au 0.241 0.148 0.518
Au 0.745 0.800 0.978
Au 0.281 0.803 0.979
Au 0.719 0.197 0.021
Au 0.255 0.200 0.022
Au 0.759 0.852 0.482

Properties
* space group: P-1
* ΔH_f (0 K): -0.48 eV per atom
* density: 11.98 g/cm3

=====

DFT (PBE) results for a geometry-optimized YTlGeBr6 structure.

Lattice parameters (Å, degrees): 7.317 7.317 7.294 90.00 90.00 59.98
Positions (direct):
Y 0.333 0.333 0.500
Tl 0.000 0.000 0.000
Ge 0.667 0.667 0.500
Br 0.001 0.368 0.279
Br 0.367 0.001 0.721
Br 0.631 0.368 0.721
Br 0.001 0.631 0.721
Br 0.368 0.631 0.279
Br 0.631 0.001 0.279

Properties
* space group: P312
* density: 4.15 g/cm3
* energy relative to the elements, uncorrected: -11.06 eV/f.u.

=====

Question: The highest density belongs to which entry?
Answer: Pr2BeGaAu6

=====

Question: What is the formula in the second record?
Answer: Ba3Mg

=====

Question: What is the formula in the second record?
Answer: Ba3Mg